(1)
Entry from Alexandria: a relaxed Tb2Pr15Mg2 crystal (PBE).

Properties
* energy relative to the elements: 219 meV per atom
* calculated density: 6.11 g/cm3
* raw total energy: -4.21 eV/atom

a b c (Å): 8.9000 8.9000 8.9000
angles (deg): 79.69 79.69 79.69
Element x y z (fractional)
1 Tb 0.6886 0.6886 0.6886
2 Tb 0.3114 0.3114 0.3114
3 Pr 0.0000 0.5000 0.0000
4 Pr 0.0000 0.0000 0.5000
5 Pr 0.5000 0.0000 0.0000
6 Pr 0.2959 0.0000 0.7041
7 Pr 0.7041 0.2959 0.0000
8 Pr 0.0000 0.7041 0.2959
9 Pr 0.2959 0.7041 0.0000
10 Pr 0.0000 0.2959 0.7041
11 Pr 0.7041 0.0000 0.2959
12 Pr 0.3720 0.8408 0.3720
13 Pr 0.3720 0.3720 0.8408
14 Pr 0.8408 0.3720 0.3720
15 Pr 0.6280 0.1592 0.6280
16 Pr 0.6280 0.6280 0.1592
17 Pr 0.1592 0.6280 0.6280
18 Mg 0.9076 0.9076 0.9076
19 Mg 0.0924 0.0924 0.0924

=====

(2)
Entry from Alexandria: a relaxed TbPr6Mg crystal (PBE).

Properties
* energy relative to the elements: 85 meV per atom
* calculated density: 6.22 g/cm3
* raw total energy: -4.28 eV/atom

a b c (Å): 9.7972 8.7058 6.5577
angles (deg): 48.32 41.58 55.67
Element x y z (fractional)
1 Tb 0.5000 0.5000 0.5000
2 Pr 0.0559 0.4650 0.7167
3 Pr 0.7626 0.9443 0.7575
4 Pr 0.5346 0.2373 0.1718
5 Pr 0.2374 0.0557 0.2425
6 Pr 0.9441 0.5350 0.2833
7 Pr 0.4654 0.7627 0.8282
8 Mg 0.0000 0.0000 0.0000

=====

(3)
Entry from Alexandria: a relaxed TbPr3Mg3 crystal (PBE).

Properties
* energy relative to the elements: 69 meV per atom
* distance to the lowest polymorph of the same formula: 0.036 eV per formula unit
* calculated density: 4.97 g/cm3
* raw total energy: -3.32 eV/atom

a b c (Å): 6.5780 6.5780 10.8229
angles (deg): 90.27 90.27 110.87
Each line ends with the local moment (μB).
Element x y z (fractional)
1 Tb 0.7132 0.7132 0.9948  0.01
2 Tb 0.2868 0.2868 0.0052  0.01
3 Pr 0.5122 0.5122 0.3275  0.17
4 Pr 0.1738 0.8262 0.5000  0.13
5 Pr 0.8262 0.1738 0.5000  0.13
6 Pr 0.2242 0.7758 0.0000  -0.01
7 Pr 0.7758 0.2242 0.0000  -0.01
8 Pr 0.4878 0.4878 0.6725  0.17
9 Mg 0.9966 0.9966 0.2385  0.00
10 Mg 0.9937 0.5014 0.7521  0.00
11 Mg 0.5014 0.9937 0.7521  0.00
12 Mg 0.0063 0.4986 0.2479  0.00
13 Mg 0.4986 0.0063 0.2479  0.00
14 Mg 0.0034 0.0034 0.7615  0.00

=====

(4)
Entry from Alexandria: a relaxed Tb2Pr3Mg crystal (PBE).

Properties
* energy relative to the elements: -20 meV per atom
* distance to the lowest polymorph of the same formula: 0.000 eV per formula unit
* calculated density: 6.45 g/cm3
* raw total energy: -4.22 eV/atom

a b c (Å): 3.6717 3.6717 14.6034
angles (deg): 90.00 90.00 90.00
Element x y z (fractional)
1 Tb 0.5000 0.5000 0.8259
2 Tb 0.5000 0.5000 0.1741
3 Pr 0.0000 0.0000 0.0000
4 Pr 0.0000 0.0000 0.6527
5 Pr 0.0000 0.0000 0.3473
6 Mg 0.5000 0.5000 0.5000

=====

(5)
Entry from Alexandria: a relaxed Tb4Pr2Mg crystal (PBE).

Properties
* energy relative to the elements: 147 meV per atom
* distance to the lowest polymorph of the same formula: 0.000 eV per formula unit
* calculated density: 6.76 g/cm3
* raw total energy: -4.09 eV/atom

a b c (Å): 12.6730 6.5346 6.3079
angles (deg): 117.57 90.00 90.00
Element x y z (fractional)
1 Tb 0.7293 0.8219 0.0816
2 Tb 0.8318 0.8487 0.5723
3 Tb 0.6681 0.3487 0.5723
4 Tb 0.7706 0.3219 0.0815
5 Tb 0.2294 0.6781 0.9185
6 Tb 0.3319 0.6513 0.4277
7 Tb 0.1682 0.1513 0.4277
8 Tb 0.2707 0.1781 0.9184
9 Pr 0.0658 0.5978 0.3160
10 Pr 0.9342 0.4022 0.6840
11 Pr 0.5658 0.9022 0.6840
12 Pr 0.4342 0.0978 0.3160
13 Mg 0.0000 0.0000 0.0000
14 Mg 0.5000 0.5000 0.0000

=====

(6)
Entry from Alexandria: a relaxed Tb4Pr4Mg crystal (PBE).

Properties
* energy relative to the elements: 15 meV per atom
* distance to the lowest polymorph of the same formula: 0.000 eV per formula unit
* calculated density: 6.86 g/cm3
* raw total energy: -4.34 eV/atom

a b c (Å): 5.0759 8.0475 8.0475
angles (deg): 84.29 71.62 71.62
Element x y z (fractional)
1 Tb 0.6648 0.3352 0.3352
2 Tb 0.3352 0.6649 0.6648
3 Tb 0.0000 0.6648 0.3352
4 Tb 0.0000 0.3352 0.6649
5 Pr 0.6657 0.6686 0.0000
6 Pr 0.3343 0.3314 0.0000
7 Pr 0.6657 0.0000 0.6686
8 Pr 0.3343 0.0000 0.3314
9 Mg 0.0000 0.0000 0.0000

=====

(7)
Entry from Alexandria: a relaxed Tb4Pr6Mg crystal (PBE).

Properties
* energy relative to the elements: 260 meV per atom
* calculated density: 6.59 g/cm3
* raw total energy: -4.18 eV/atom

a b c (Å): 9.8508 9.8508 9.8508
angles (deg): 56.71 140.75 140.75
Element x y z (fractional)
1 Tb 0.0000 0.6446 0.0086
2 Tb 0.3640 0.3554 0.3554
3 Tb 0.0000 0.0086 0.6446
4 Tb 0.6360 0.9914 0.9914
5 Pr 0.0000 0.8057 0.4588
6 Pr 0.0000 0.4588 0.8057
7 Pr 0.3469 0.5412 0.5412
8 Pr 0.5000 0.5000 0.0000
9 Pr 0.6531 0.1943 0.1943
10 Pr 0.5000 0.0000 0.5000
11 Mg 0.0000 0.0000 0.0000

=====

(8)
Entry from Alexandria: a relaxed Tb7Pr12Mg crystal (PBE).

Properties
* energy relative to the elements: 130 meV per atom
* distance to the lowest polymorph of the same formula: 0.000 eV per formula unit
* calculated density: 6.87 g/cm3
* raw total energy: -4.44 eV/atom

a b c (Å): 9.4309 9.4309 9.4309
angles (deg): 107.77 107.77 107.77
Element x y z (fractional)
1 Tb 0.1222 0.6789 0.0092
2 Tb 0.3211 0.9908 0.8778
3 Tb 0.9908 0.8778 0.3211
4 Tb 0.5000 0.5000 0.5000
5 Tb 0.0092 0.1222 0.6789
6 Tb 0.6789 0.0092 0.1222
7 Tb 0.8778 0.3211 0.9908
8 Pr 0.7820 0.3037 0.5798
9 Pr 0.6963 0.4202 0.2180
10 Pr 0.3729 0.0631 0.2917
11 Pr 0.9369 0.7083 0.6271
12 Pr 0.4202 0.2180 0.6963
13 Pr 0.7083 0.6271 0.9369
14 Pr 0.2917 0.3729 0.0631
15 Pr 0.5798 0.7820 0.3037
16 Pr 0.0631 0.2917 0.3729
17 Pr 0.6271 0.9369 0.7083
18 Pr 0.3037 0.5798 0.7820
19 Pr 0.2180 0.6963 0.4202
20 Mg 0.0000 0.0000 0.0000

=====

(9)
Entry from Alexandria: a relaxed TbPr2Mg9 crystal (PBE).

Properties
* energy relative to the elements: -52 meV per atom
* calculated density: 3.45 g/cm3
* raw total energy: -2.43 eV/atom

a b c (Å): 6.0872 6.0872 10.4860
angles (deg): 73.13 73.13 60.00
Element x y z (fractional)
1 Tb 0.0000 0.0000 0.0000
2 Pr 0.8584 0.8584 0.4247
3 Pr 0.1416 0.1416 0.5753
4 Mg 0.6661 0.6661 0.0016
5 Mg 0.3339 0.3339 0.9984
6 Mg 0.5000 0.5000 0.5000
7 Mg 0.4161 0.4161 0.2475
8 Mg 0.9203 0.4161 0.2475
9 Mg 0.4161 0.9203 0.2475
10 Mg 0.5839 0.5839 0.7525
11 Mg 0.5839 0.0797 0.7525
12 Mg 0.0797 0.5839 0.7525

=====

(10)
Entry from Alexandria: a relaxed TbPr3Mg6 crystal (PBE).

Properties
* energy relative to the elements: -83 meV per atom
* calculated density: 4.30 g/cm3
* raw total energy: -2.94 eV/atom

a b c (Å): 5.3513 9.4987 11.4475
angles (deg): 105.21 90.00 90.00
Element x y z (fractional)
1 Tb 0.2500 0.9505 0.6020
2 Tb 0.7500 0.0495 0.3980
3 Pr 0.2500 0.5366 0.3949
4 Pr 0.7500 0.4634 0.6051
5 Pr 0.2500 0.3499 0.7891
6 Pr 0.7500 0.6501 0.2109
7 Pr 0.2500 0.7564 0.0062
8 Pr 0.7500 0.2436 0.9938
9 Mg 0.2500 0.4386 0.0967
10 Mg 0.7500 0.5614 0.9033
11 Mg 0.2500 0.1447 0.1909
12 Mg 0.7500 0.8553 0.8091
13 Mg 0.2500 0.6697 0.7083
14 Mg 0.7500 0.3303 0.2917
15 Mg 0.2500 0.2345 0.4843
16 Mg 0.7500 0.7655 0.5157
17 Mg 0.2500 0.8651 0.3060
18 Mg 0.7500 0.1349 0.6940
19 Mg 0.2500 0.0451 0.8963
20 Mg 0.7500 0.9549 0.1037

=====

(11)
Entry from Alexandria: a relaxed TbPr8Mg2 crystal (PBE).

Properties
* energy relative to the elements: 5 meV per atom
* distance to the lowest polymorph of the same formula: 0.000 eV per formula unit
* calculated density: 5.97 g/cm3
* raw total energy: -4.18 eV/atom

a b c (Å): 5.2393 8.3399 9.3628
angles (deg): 108.37 106.25 90.00
Element x y z (fractional)
1 Tb 0.5000 0.0000 0.0000
2 Pr 0.5955 0.4610 0.1909
3 Pr 0.3155 0.0612 0.6310
4 Pr 0.1412 0.1977 0.2824
5 Pr 0.0500 0.7351 0.0999
6 Pr 0.8588 0.8023 0.7176
7 Pr 0.6845 0.9388 0.3690
8 Pr 0.4045 0.5390 0.8091
9 Pr 0.9500 0.2649 0.9001
10 Mg 0.2267 0.6329 0.4534
11 Mg 0.7733 0.3671 0.5466

=====

(12)
Entry from Alexandria: a relaxed TbPr4Mg crystal (PBE).

Properties
* energy relative to the elements: -23 meV per atom
* distance to the lowest polymorph of the same formula: 0.000 eV per formula unit
* calculated density: 6.16 g/cm3
* raw total energy: -4.25 eV/atom

a b c (Å): 3.7156 3.7156 14.5728
angles (deg): 90.00 90.00 90.00
Element x y z (fractional)
1 Tb 0.0000 0.0000 0.0000
2 Pr 0.5000 0.5000 0.1732
3 Pr 0.0000 0.0000 0.6504
4 Pr 0.0000 0.0000 0.3496
5 Pr 0.5000 0.5000 0.8268
6 Mg 0.5000 0.5000 0.5000